1.
Density functional theory data (PBE) for a relaxed Co6Ni8Rh crystal.

abc: 5.777 5.777 5.777
angles: 76.65 76.65 76.65
Fractional coordinates of all 15 atoms:
1 Co 0.200 0.431 0.587
2 Co 0.413 0.800 0.569
3 Co 0.431 0.587 0.200
4 Co 0.569 0.413 0.800
5 Co 0.587 0.200 0.431
6 Co 0.800 0.569 0.413
7 Ni 0.063 0.838 0.403
8 Ni 0.162 0.597 0.937
9 Ni 0.229 0.229 0.229
10 Ni 0.403 0.063 0.838
11 Ni 0.597 0.937 0.162
12 Ni 0.771 0.771 0.771
13 Ni 0.838 0.403 0.063
14 Ni 0.937 0.162 0.597
15 Rh 0.000 0.000 0.000

Computed properties:
Crystal system: trigonal
Formation energy: 28 kJ/mol of atoms
Offset from the most stable computed form: 0.00 eV per formula unit

---

2.
Density functional theory data (PBE) for a relaxed HoEr4Ga4 crystal.

abc: 8.978 8.978 5.899
angles: 90.00 90.00 90.00
Fractional coordinates of all 18 atoms:
1 Ho 0.250 0.250 0.250
2 Ho 0.750 0.750 0.750
3 Er 0.068 0.658 0.129
4 Er 0.158 0.932 0.629
5 Er 0.342 0.568 0.629
6 Er 0.432 0.842 0.129
7 Er 0.568 0.158 0.871
8 Er 0.658 0.432 0.371
9 Er 0.842 0.068 0.371
10 Er 0.932 0.342 0.871
11 Ga 0.023 0.619 0.619
12 Ga 0.119 0.977 0.119
13 Ga 0.381 0.523 0.119
14 Ga 0.477 0.881 0.619
15 Ga 0.523 0.119 0.381
16 Ga 0.619 0.477 0.881
17 Ga 0.881 0.023 0.881
18 Ga 0.977 0.381 0.381

Computed properties:
Crystal system: tetragonal
Formation energy: -34 kJ/mol of atoms

---

Number 1: uncorrected energy -6.13 eV/atom. Number 2: uncorrected energy -4.24 eV/atom.